{
  "formula": "MgUAl2Au4",
  "functional": "PBE-GGA",
  "state": "relaxed",
  "formation_enthalpy_0k_ev_per_atom": -0.377,
  "lattice": [[4.4866, 0.0000, 0.0000], [2.2433, 3.8855, 0.0000], [2.2433, 1.2952, 8.7115]],
  "species": ["Mg", "U", "Al", "Al", "Au", "Au", "Au", "Au"],
  "frac_coords": [[0.5000, 0.5000, 0.5000], [0.0000, 0.0000, 0.0000], [0.7573, 0.7573, 0.7280], [0.2427, 0.2427, 0.2720], [0.3916, 0.3916, 0.8253], [0.8729, 0.8729, 0.3812], [0.1271, 0.1271, 0.6188], [0.6084, 0.6084, 0.1747]]
}